# 1
CdSb2I8 | GGA-PBE | relaxed

The structure belongs to space group C2/m (No. 12); the cell edges are 11.401, 13.040 and 8.551 Å and the angles 90.00°, 106.67° and 90.00°. The distinct sites, in fractional coordinates, are Cd at (0.000, 0.000, 0.000), Sb at (0.166, 0.000, 0.593), I at (0.084, 0.500, 0.275), I at (0.109, 0.166, 0.776) and I at (0.227, 0.000, 0.228).

For the energy above the most stable polymorph in this dataset, the calculation gives 0.07 eV/f.u.

***

# 2
CdSbI | GGA-PBE | relaxed

The structure belongs to space group P1 (No. 1); the cell edges are 4.256, 7.593 and 9.024 Å and the angles 114.03°, 103.48° and 90.00°. The distinct sites, in fractional coordinates, are Cd at (0.000, 0.000, 0.000), Cd at (0.490, 0.422, 0.976), Sb at (0.324, 0.156, 0.643), Sb at (0.832, 0.903, 0.658), I at (0.077, 0.711, 0.154) and I at (0.614, 0.246, 0.230).

For the energy above the most stable polymorph in this dataset, the calculation gives 0.19 eV/f.u.

***

# 3
Cd3SbI3 | GGA-PBE | relaxed

The structure belongs to space group P6_3/mmc (No. 194); the cell edges are 9.7648, 9.7648 and 7.4591 Å and the angles 90.00°, 90.00° and 120.00°. The distinct sites, in fractional coordinates, are Cd at (0.1742, 0.3484, 0.2500), Sb at (0.3333, 0.6667, 0.2500) and I at (0.1650, 0.3301, 0.7500).

***

| no. | calculated volume (Å³ per atom) | total DFT energy (no corrections) (eV per atom) |
| --- | --- | --- |
| 1 | 55.4 | -2.27 |
| 2 | 42.9 | -2.44 |
| 3 | 44.0 | -1.86 |